Record 1
{
  "formula": "SbTeBr2",
  "functional": "PBE",
  "state": "optimized geometry",
  "lattice": [[-8.2262, -0.3641, -0.2509], [-7.4493, -2.0570, 2.8538], [-2.1881, 4.2731, 2.8777]],
  "species": ["Sb", "Te", "Br", "Br"],
  "frac_coords": [[0.2500, 0.2500, 0.2500], [0.7500, 0.7500, 0.7500], [0.8997, 0.8997, 0.1004], [0.6003, 0.6003, 0.3996]],
  "final_energy_ev_per_atom": -2.69,
  "magmom_total_mub_per_atom": 0.00,
  "raw_formation_energy_ev_per_atom": -0.042,
  "polymorph_energy_ev_per_atom": 0.252,
  "space_group": "C2/m"
}

***

Record 2
{
  "formula": "CsKSi2",
  "functional": "PBE",
  "state": "optimized geometry",
  "lattice": [[-3.2662, -0.2087, -9.3911], [6.9354, -6.7592, -2.2619], [-0.0127, -5.6102, -5.1368]],
  "species": ["Cs", "Cs", "K", "K", "Si", "Si", "Si", "Si"],
  "frac_coords": [[0.0000, 0.0000, 0.0000], [0.7500, 0.2500, 0.5000], [0.5000, 0.5000, 0.0000], [0.2500, 0.7500, 0.5000], [0.6174, 0.1250, 0.2500], [0.1326, 0.6250, 0.2500], [0.3750, 0.3826, 0.7500], [0.8750, 0.8674, 0.7500]],
  "final_energy_ev_per_atom": -2.37,
  "magmom_total_mub_per_atom": 0.00,
  "raw_formation_energy_ev_per_atom": 0.833,
  "polymorph_energy_ev_per_atom": 0.758,
  "space_group": "I-42d"
}

***

Record 3
{
  "formula": "SrIrPb2",
  "functional": "PBE",
  "state": "optimized geometry",
  "lattice": [[4.1823, 0.0000, 0.0000], [0.0000, 5.7688, 0.0728], [0.0000, 2.6874, 5.1059]],
  "species": ["Ir", "Pb", "Pb", "Sr"],
  "frac_coords": [[0.5000, 0.7500, 0.7500], [0.0000, 0.9281, 0.9283], [0.0000, 0.5719, 0.5717], [0.5000, 0.2500, 0.2500]],
  "final_energy_ev_per_atom": -4.62,
  "magmom_total_mub_per_atom": 0.00,
  "space_group": "Cmmm"
}

***

Record 4
{
  "formula": "BaRhSe2",
  "functional": "PBE",
  "state": "optimized geometry",
  "lattice": [[-3.3395, 0.3218, -1.0729], [0.8778, -1.3437, -3.1354], [-1.4671, -6.8325, 2.5173]],
  "species": ["Ba", "Rh", "Se", "Se"],
  "frac_coords": [[0.5000, 0.5000, 0.2500], [0.5000, 0.5000, 0.7500], [0.0000, 0.0000, 0.9465], [0.0000, 0.0000, 0.5535]],
  "final_energy_ev_per_atom": -4.43,
  "magmom_total_mub_per_atom": 0.00,
  "raw_formation_energy_ev_per_atom": -0.368,
  "polymorph_energy_ev_per_atom": 0.590,
  "space_group": "P4/mmm"
}